one | Here is crystalline PmZr2Cd at its relaxed geometry from the Alexandria database. Energies are from GGA-PBE.

CIF file:
```
data_PmZr2Cd
_chemical_formula_sum 'Pm1 Zr2 Cd1'
_symmetry_space_group_name_H-M 'P 4/m m m'
_symmetry_Int_Tables_number 123
_symmetry_space_group_name_Hall '-P 4 2'
_cell_length_a 4.603
_cell_length_b 4.603
_cell_length_c 4.622
_cell_angle_alpha 90.00
_cell_angle_beta 90.00
_cell_angle_gamma 90.00
loop_
_atom_site_label
_atom_site_type_symbol
_atom_site_fract_x
_atom_site_fract_y
_atom_site_fract_z
Pm1 Pm 0.000 0.000 0.000
Zr1 Zr 0.000 0.500 0.500
Cd1 Cd 0.500 0.500 0.000
```

Properties
* M_tot: 0.00 μB/f.u.

---

two | Here is crystalline PmZr2Cd at its relaxed geometry from the Alexandria database. Energies are from GGA-PBE.

CIF file:
```
data_PmZr2Cd
_chemical_formula_sum 'Pm3 Zr6 Cd3'
_symmetry_space_group_name_H-M 'R -3 m'
_symmetry_Int_Tables_number 166
_symmetry_space_group_name_Hall '-R 3 2"'
_cell_length_a 3.1502
_cell_length_b 3.1502
_cell_length_c 35.1742
_cell_angle_alpha 90.00
_cell_angle_beta 90.00
_cell_angle_gamma 120.00
loop_
_atom_site_label
_atom_site_type_symbol
_atom_site_fract_x
_atom_site_fract_y
_atom_site_fract_z
Pm1 Pm 0.0000 0.0000 0.0000
Zr1 Zr 0.0000 0.0000 0.0923
Cd1 Cd 0.0000 0.0000 0.5000
```

Properties
* M_tot: 0.00 μB/f.u.

---

If we sort the structures by their calculated energies, the order from most to least stable is one, two.

---

one | Here is crystalline PmZrCd2 at its relaxed geometry from the Alexandria database. Energies are from GGA-PBE.

CIF file:
```
data_PmZrCd2
_chemical_formula_sum 'Pm4 Zr4 Cd8'
_symmetry_space_group_name_H-M 'F m -3 m'
_symmetry_Int_Tables_number 225
_symmetry_space_group_name_Hall '-F 4 2 3'
_cell_length_a 7.356
_cell_length_b 7.356
_cell_length_c 7.356
_cell_angle_alpha 90.00
_cell_angle_beta 90.00
_cell_angle_gamma 90.00
loop_
_atom_site_label
_atom_site_type_symbol
_atom_site_fract_x
_atom_site_fract_y
_atom_site_fract_z
Pm1 Pm 0.000 0.000 0.000
Zr1 Zr 0.000 0.000 0.500
Cd1 Cd 0.250 0.250 0.250
```

Properties
* M_tot: 0.64 μB/f.u.

---

two | Here is crystalline PmZrCd2 at its relaxed geometry from the Alexandria database. Energies are from GGA-PBE.

CIF file:
```
data_PmZrCd2
_chemical_formula_sum 'Pm1 Zr1 Cd2'
_symmetry_space_group_name_H-M 'P 4/m m m'
_symmetry_Int_Tables_number 123
_symmetry_space_group_name_Hall '-P 4 2'
_cell_length_a 4.710
_cell_length_b 4.710
_cell_length_c 4.421
_cell_angle_alpha 90.00
_cell_angle_beta 90.00
_cell_angle_gamma 90.00
loop_
_atom_site_label
_atom_site_type_symbol
_atom_site_fract_x
_atom_site_fract_y
_atom_site_fract_z
Pm1 Pm 0.000 0.000 0.000
Zr1 Zr 0.500 0.500 0.000
Cd1 Cd 0.000 0.500 0.500
```

Properties
* M_tot: 0.00 μB/f.u.

---

three | Here is crystalline PmZrCd2 at its relaxed geometry from the Alexandria database. Energies are from GGA-PBE.

CIF file:
```
data_PmZrCd2
_chemical_formula_sum 'Pm1 Zr1 Cd2'
_symmetry_space_group_name_H-M 'P 4/m m m'
_symmetry_Int_Tables_number 123
_symmetry_space_group_name_Hall '-P 4 2'
_cell_length_a 3.619
_cell_length_b 3.619
_cell_length_c 7.554
_cell_angle_alpha 90.00
_cell_angle_beta 90.00
_cell_angle_gamma 90.00
loop_
_atom_site_label
_atom_site_type_symbol
_atom_site_fract_x
_atom_site_fract_y
_atom_site_fract_z
Pm1 Pm 0.000 0.000 0.000
Zr1 Zr 0.000 0.000 0.500
Cd1 Cd 0.500 0.500 0.278
```

Properties
* M_tot: 0.26 μB/f.u.

---

If we sort the structures by their calculated energies, the order from most to least stable is three, one, two.

---

one | Here is crystalline PmZrCd4 at its relaxed geometry from the Alexandria database. Energies are from GGA-PBE.

CIF file:
```
data_PmZrCd4
_chemical_formula_sum 'Pm2 Zr2 Cd8'
_symmetry_space_group_name_H-M 'C 1 2/m 1'
_symmetry_Int_Tables_number 12
_symmetry_space_group_name_Hall '-C 2y'
_cell_length_a 8.607
_cell_length_b 4.970
_cell_length_c 6.594
_cell_angle_alpha 90.00
_cell_angle_beta 90.11
_cell_angle_gamma 90.00
loop_
_atom_site_label
_atom_site_type_symbol
_atom_site_fract_x
_atom_site_fract_y
_atom_site_fract_z
Pm1 Pm 0.000 0.000 0.000
Zr1 Zr 0.000 0.000 0.500
Cd1 Cd 0.166 0.500 0.734
Cd2 Cd 0.167 0.500 0.266
```

Properties
* M_tot: 0.00 μB/f.u.

---

two | Here is crystalline PmZrCd4 at its relaxed geometry from the Alexandria database. Energies are from GGA-PBE.

CIF file:
```
data_PmZrCd4
_chemical_formula_sum 'Pm4 Zr4 Cd16'
_symmetry_space_group_name_H-M 'F -4 3 m'
_symmetry_Int_Tables_number 216
_symmetry_space_group_name_Hall 'F -4 2 3'
_cell_length_a 8.262
_cell_length_b 8.262
_cell_length_c 8.262
_cell_angle_alpha 90.00
_cell_angle_beta 90.00
_cell_angle_gamma 90.00
loop_
_atom_site_label
_atom_site_type_symbol
_atom_site_fract_x
_atom_site_fract_y
_atom_site_fract_z
Pm1 Pm 0.000 0.000 0.000
Zr1 Zr 0.250 0.250 0.750
Cd1 Cd 0.125 0.125 0.375
```

Properties
* M_tot: 2.03 μB/f.u.

---

If we sort the structures by their calculated energies, the order from most to least stable is one, two.

---

one | Here is crystalline Pr5Cd2 at its relaxed geometry from the Alexandria database. Energies are from GGA-PBE.

CIF file:
```
data_Pr5Cd2
_chemical_formula_sum 'Pr20 Cd8'
_symmetry_space_group_name_H-M 'C 1 2/c 1'
_symmetry_Int_Tables_number 15
_symmetry_space_group_name_Hall '-C 2yc'
_cell_length_a 16.397
_cell_length_b 8.139
_cell_length_c 6.773
_cell_angle_alpha 90.00
_cell_angle_beta 92.76
_cell_angle_gamma 90.00
loop_
_atom_site_label
_atom_site_type_symbol
_atom_site_fract_x
_atom_site_fract_y
_atom_site_fract_z
Pr1 Pr 0.000 0.032 0.250
Pr2 Pr 0.077 0.357 0.522
Pr3 Pr 0.235 0.068 0.697
Cd1 Cd 0.125 0.258 0.008
```

Properties
* M_tot: 0.00 μB/f.u.

---

two | Here is crystalline Pr5Cd2 at its relaxed geometry from the Alexandria database. Energies are from GGA-PBE.

CIF file:
```
data_Pr5Cd2
_chemical_formula_sum 'Pr20 Cd8'
_symmetry_space_group_name_H-M 'C 1 2/c 1'
_symmetry_Int_Tables_number 15
_symmetry_space_group_name_Hall '-C 2yc'
_cell_length_a 16.025
_cell_length_b 6.028
_cell_length_c 9.289
_cell_angle_alpha 90.00
_cell_angle_beta 97.01
_cell_angle_gamma 90.00
loop_
_atom_site_label
_atom_site_type_symbol
_atom_site_fract_x
_atom_site_fract_y
_atom_site_fract_z
Pr1 Pr 0.000 0.208 0.250
Pr2 Pr 0.132 0.206 0.959
Pr3 Pr 0.228 0.334 0.323
Cd1 Cd 0.073 0.314 0.604
```

Properties
* M_tot: 0.00 μB/f.u.

---

If we sort the structures by their calculated energies, the order from most to least stable is two, one.

---

one | Here is crystalline Pr5Cd at its relaxed geometry from the Alexandria database. Energies are from GGA-PBE.

CIF file:
```
data_Pr5Cd
_chemical_formula_sum 'Pr10 Cd2'
_symmetry_space_group_name_H-M 'C 1 m 1'
_symmetry_Int_Tables_number 8
_symmetry_space_group_name_Hall 'C -2y'
_cell_length_a 12.773
_cell_length_b 3.825
_cell_length_c 8.894
_cell_angle_alpha 90.00
_cell_angle_beta 110.51
_cell_angle_gamma 90.00
loop_
_atom_site_label
_atom_site_type_symbol
_atom_site_fract_x
_atom_site_fract_y
_atom_site_fract_z
Pr1 Pr 0.000 0.000 0.000
Pr2 Pr 0.002 0.000 0.582
Pr3 Pr 0.136 0.500 0.350
Pr4 Pr 0.298 0.000 0.700
Pr5 Pr 0.332 0.000 0.207
Cd1 Cd 0.179 0.500 0.898
```

Properties
* M_tot: 0.00 μB/f.u.

---

two | Here is crystalline Pr5Cd at its relaxed geometry from the Alexandria database. Energies are from GGA-PBE.

CIF file:
```
data_Pr5Cd
_chemical_formula_sum 'Pr10 Cd2'
_symmetry_space_group_name_H-M 'C m m m'
_symmetry_Int_Tables_number 65
_symmetry_space_group_name_Hall '-C 2 2'
_cell_length_a 5.034
_cell_length_b 15.683
_cell_length_c 5.094
_cell_angle_alpha 90.00
_cell_angle_beta 90.00
_cell_angle_gamma 90.00
loop_
_atom_site_label
_atom_site_type_symbol
_atom_site_fract_x
_atom_site_fract_y
_atom_site_fract_z
Pr1 Pr 0.000 0.000 0.000
Pr2 Pr 0.000 0.163 0.500
Pr3 Pr 0.000 0.335 0.000
Cd1 Cd 0.000 0.500 0.500
```

Properties
* M_tot: 0.00 μB/f.u.

---

If we sort the structures by their calculated energies, the order from most to least stable is one, two.